The following is a DFT calculation (PBE) of a relaxed UVTc2 crystal.

calculated formation energy: -102 meV per atom
DFT total energy: -41.55 eV per cell
total moment: 0.00 μB/cell
energy above the lowest structure with this stoichiometry: 0.0 meV/atom

```
4
Lattice="4.5335 0.0000 0.0000 0.0000 4.5335 0.0000 0.0000 0.0000 3.1881" Properties=species:S:1:pos:R:3 pbc="T T T"
U 0.0000 0.0000 0.0000
V 2.2667 2.2667 0.0000
Tc 0.0000 2.2667 1.5941
Tc 2.2667 0.0000 1.5941
```


The following is a DFT calculation (PBE) of a relaxed La2DyGa crystal.

calculated formation energy: -125 meV per atom
DFT total energy: -53.96 eV per cell
total moment: 1.34 μB/cell
energy above the lowest structure with this stoichiometry: 138.3 meV/atom

```
12
Lattice="3.7455 0.0000 0.0000 -1.8728 3.2437 0.0000 0.0000 0.0000 31.8582" Properties=species:S:1:pos:R:3 pbc="T T T"
La 0.0000 0.0000 0.0000
La 0.0000 0.0000 5.9825
La 0.0000 2.1625 21.2388
La 0.0000 2.1625 27.2213
La 1.8728 1.0812 10.6194
La 1.8728 1.0812 16.6019
Dy 0.0000 0.0000 24.2244
Dy 0.0000 2.1625 13.6050
Dy 1.8728 1.0812 2.9856
Ga 0.0000 0.0000 18.9221
Ga 0.0000 2.1625 8.3027
Ga 1.8728 1.0812 29.5415
```


The following is a DFT calculation (PBE) of a relaxed LiMoBr2 crystal.

DFT total energy: -56.04 eV per cell
E_form (uncorrected): 520 meV/atom
total moment: 20.00 μB/cell
energy above the lowest structure with this stoichiometry: 632.2 meV/atom

```
16
Lattice="7.2823 0.0000 0.0000 0.0000 7.2823 0.0000 0.0000 0.0000 7.2823" Properties=species:S:1:pos:R:3 pbc="T T T"
Li 0.0000 0.0000 0.0000
Li 0.0000 3.6411 3.6411
Li 3.6411 0.0000 3.6411
Li 3.6411 3.6411 0.0000
Mo 1.8206 1.8206 1.8206
Mo 1.8206 5.4617 5.4617
Mo 5.4617 1.8206 5.4617
Mo 5.4617 5.4617 1.8206
Br 0.0000 0.0000 3.6411
Br 0.0000 3.6411 0.0000
Br 1.8206 1.8206 5.4617
Br 1.8206 5.4617 1.8206
Br 3.6411 0.0000 0.0000
Br 3.6411 3.6411 3.6411
Br 5.4617 1.8206 1.8206
Br 5.4617 5.4617 5.4617
```


The following is a DFT calculation (PBE) of a relaxed Si5Ni12P2 crystal.

DFT total energy: -114.90 eV per cell
E_form (uncorrected): -400 meV/atom
total moment: 0.00 μB/cell

```
19
Lattice="5.7610 -3.2125 0.0000 5.7610 3.2125 0.0000 -0.9013 0.0000 5.8776" Properties=species:S:1:pos:R:3 pbc="T T T"
Si 0.0000 0.0000 0.0000
Si 2.7043 0.0000 0.2696
Si 3.2817 0.0000 3.4329
Si 7.3389 0.0000 2.4447
Si 7.9163 0.0000 5.6081
Ni 3.2706 1.7840 1.8161
Ni 1.1523 0.0000 2.0292
Ni 3.6589 1.2656 5.4726
Ni 6.9618 1.2656 0.4050
Ni 7.3501 1.7840 4.0615
Ni 5.0827 0.0000 1.7091
Ni 5.5380 0.0000 4.1686
Ni 3.2706 -1.7840 1.8161
Ni 3.6589 -1.2656 5.4726
Ni 6.9618 -1.2656 0.4050
Ni 9.4683 0.0000 3.8485
Ni 7.3501 -1.7840 4.0615
P 5.3103 1.8944 2.9388
P 5.3103 -1.8944 2.9388
```


The following is a DFT calculation (PBE) of a relaxed Ce3Pd5Pt3 crystal.

calculated formation energy: -566 meV per atom
DFT total energy: -68.11 eV per cell
total moment: 0.57 μB/cell

```
11
Lattice="8.5942 0.0000 0.0000 -4.2971 7.4428 0.0000 0.0000 0.0000 3.7246" Properties=species:S:1:pos:R:3 pbc="T T T"
Ce -2.5355 4.3916 0.0000
Ce 1.7617 3.0513 0.0000
Ce 5.0709 0.0000 0.0000
Pd -1.5288 2.6479 1.8623
Pd 0.0000 4.9619 1.8623
Pd 3.0576 0.0000 1.8623
Pd 2.7683 4.7949 1.8623
Pd 4.2971 2.4809 1.8623
Pt -3.5145 6.0873 1.8623
Pt 0.7826 1.3556 1.8623
Pt 7.0290 0.0000 1.8623
```


The following is a DFT calculation (PBE) of a relaxed Pm12Y17 crystal.

calculated formation energy: 168 meV per atom
DFT total energy: -162.03 eV per cell
total moment: 0.01 μB/cell

```
29
Lattice="-6.2366 6.2366 6.2366 6.2366 -6.2366 6.2366 6.2366 6.2366 -6.2366" Properties=species:S:1:pos:R:3 pbc="T T T"
Pm 8.9588 1.1359 -1.1359
Pm 8.9588 -1.1359 1.1359
Pm 3.5145 1.1359 1.1359
Pm 5.1007 5.1007 -2.7222
Pm 5.1007 -2.7222 5.1007
Pm 1.1359 3.5145 1.1359
Pm 1.1359 1.1359 3.5145
Pm 1.1359 8.9588 -1.1359
Pm 1.1359 -1.1359 8.9588
Pm -1.1359 8.9588 1.1359
Pm -1.1359 1.1359 8.9588
Pm -2.7222 5.1007 5.1007
Y 0.0000 0.0000 0.0000
Y 2.1633 2.1633 -2.1633
Y 5.6196 1.7208 -1.7208
Y 2.1633 -2.1633 2.1633
Y 5.6196 -1.7208 1.7208
Y 6.8536 1.7208 1.7208
Y 1.7208 5.6196 -1.7208
Y 1.7208 -1.7208 5.6196
Y -2.1633 2.1633 2.1633
Y 4.5159 4.5159 0.6170
Y 4.5159 0.6170 4.5159
Y -1.7208 5.6196 1.7208
Y -1.7208 1.7208 5.6196
Y 4.0734 4.0734 4.0734
Y 1.7208 6.8536 1.7208
Y 1.7208 1.7208 6.8536
Y 0.6170 4.5159 4.5159
```


The following is a DFT calculation (PBE) of a relaxed Nd2AlSn3 crystal.

calculated formation energy: -299 meV per atom
DFT total energy: -54.16 eV per cell
total moment: 0.00 μB/cell

```
12
Lattice="5.0163 0.0000 0.0000 0.0000 6.4147 0.0000 0.0000 0.0000 10.9800" Properties=species:S:1:pos:R:3 pbc="T T T"
Nd 0.0000 0.0000 2.1122
Nd 0.0000 0.0000 8.8678
Nd 2.5082 3.2073 3.3778
Nd 2.5082 3.2073 7.6023
Al 0.0000 0.0000 5.4900
Al 2.5082 3.2073 0.0000
Sn 0.0000 3.2073 1.4859
Sn 0.0000 3.2073 5.4900
Sn 0.0000 3.2073 9.4941
Sn 2.5082 0.0000 0.0000
Sn 2.5082 0.0000 4.0041
Sn 2.5082 0.0000 6.9760
```


The following is a DFT calculation (PBE) of a relaxed BaReAg2 crystal.

calculated formation energy: 816 meV per atom
DFT total energy: -16.81 eV per cell
total moment: 0.00 μB/cell
energy above the lowest structure with this stoichiometry: 17.6 meV/atom

```
4
Lattice="3.0164 0.0000 0.0000 0.0000 3.0164 0.0000 0.0000 0.0000 9.4278" Properties=species:S:1:pos:R:3 pbc="T T T"
Ba 0.0000 0.0000 0.0000
Re 1.5082 1.5082 2.6697
Ag 0.0000 0.0000 4.5777
Ag 1.5082 1.5082 6.5767
```


The following is a DFT calculation (PBE) of a relaxed LaInGe2Pt5 crystal.

calculated formation energy: -586 meV per atom
DFT total energy: -52.38 eV per cell
total moment: 0.00 μB/cell

```
9
Lattice="4.1059 0.0000 0.0000 0.0000 4.1059 0.0000 0.0000 0.0000 11.3753" Properties=species:S:1:pos:R:3 pbc="T T T"
La 0.0000 0.0000 0.0000
In 0.0000 0.0000 5.6876
Ge 2.0530 2.0530 2.4448
Ge 2.0530 2.0530 8.9305
Pt 0.0000 2.0530 3.8047
Pt 0.0000 2.0530 7.5706
Pt 2.0530 0.0000 3.8047
Pt 2.0530 0.0000 7.5706
Pt 2.0530 2.0530 0.0000
```


The following is a DFT calculation (PBE) of a relaxed KAlTc2 crystal.

calculated formation energy: 1006 meV per atom
DFT total energy: -86.20 eV per cell
total moment: 0.00 μB/cell

```
16
Lattice="6.5254 0.0000 0.0000 0.0000 6.5254 0.0000 0.0000 0.0000 6.5254" Properties=species:S:1:pos:R:3 pbc="T T T"
K 0.0000 0.0000 0.0000
K 0.0000 3.2627 3.2627
K 3.2627 0.0000 3.2627
K 3.2627 3.2627 0.0000
Al 1.6314 1.6314 1.6314
Al 1.6314 4.8941 4.8941
Al 4.8941 1.6314 4.8941
Al 4.8941 4.8941 1.6314
Tc 0.0000 0.0000 3.2627
Tc 0.0000 3.2627 0.0000
Tc 1.6314 1.6314 4.8941
Tc 1.6314 4.8941 1.6314
Tc 3.2627 0.0000 0.0000
Tc 3.2627 3.2627 3.2627
Tc 4.8941 1.6314 1.6314
Tc 4.8941 4.8941 4.8941
```


The following is a DFT calculation (PBE) of a relaxed Er12Tl6Pd crystal.

calculated formation energy: -64 meV per atom
DFT total energy: -75.37 eV per cell
total moment: 0.00 μB/cell

```
19
Lattice="6.6052 3.8135 4.0875 -6.6052 3.8135 4.0875 0.0000 -7.6271 4.0875" Properties=species:S:1:pos:R:3 pbc="T T T"
Er -5.9371 -1.5248 6.7796
Er -1.6480 -5.9040 5.4831
Er -2.5326 -0.4240 4.8449
Er -4.2890 4.3793 5.4831
Er 1.6335 -1.9813 4.8449
Er -0.8991 -2.4053 7.4177
Er 0.8992 2.4053 4.8449
Er -1.6335 1.9813 7.4177
Er 4.2891 -4.3792 6.7796
Er 2.5326 0.4240 7.4177
Er 1.6480 5.9040 6.7796
Er 5.9371 1.5248 5.4831
Tl -1.1220 -3.1063 4.3292
Tl -2.1292 2.5248 4.3292
Tl -3.2512 -0.5815 7.9334
Tl 3.2512 0.5815 4.3293
Tl 2.1292 -2.5248 7.9334
Tl 1.1220 3.1063 7.9334
Pd 0.0000 0.0000 0.0000
```


The following is a DFT calculation (PBE) of a relaxed BaLi2Au3 crystal.

calculated formation energy: -597 meV per atom
DFT total energy: -38.33 eV per cell
total moment: 0.00 μB/cell

```
12
Lattice="5.6135 -4.4428 0.0000 5.6135 4.4428 0.0000 0.0000 0.0000 5.4942" Properties=species:S:1:pos:R:3 pbc="T T T"
Ba 5.6135 2.7152 4.1206
Ba 5.6135 -2.7152 1.3735
Li 3.3431 0.0000 0.0000
Li 3.3431 0.0000 2.7471
Li 7.8838 0.0000 0.0000
Li 7.8838 0.0000 2.7471
Au 3.3796 2.4502 1.3735
Au 7.8473 2.4502 1.3735
Au 5.6135 0.6256 1.3735
Au 5.6135 -0.6256 4.1206
Au 3.3796 -2.4502 4.1206
Au 7.8473 -2.4502 4.1206
```